[1]
# BeVCl2, relaxed, DFT PBE
# Energy above the lowest structure with this stoichiometry (eV per atom): 0.5198
# ΔE_f (raw) (kJ per mole of atoms): 42.9
# Theoretical density (g/cm³): 3.9
# DFT total energy (eV per atom): -3.689
data_BeVCl2
_chemical_formula_sum 'Be4 V4 Cl8'
_space_group_name_H-M_alt 'F m -3 m'
_space_group_IT_number 225
_space_group_name_Hall '-F 4 2 3'
_cell_length_a 6.0399
_cell_length_b 6.0399
_cell_length_c 6.0399
_cell_angle_alpha 90.00
_cell_angle_beta 90.00
_cell_angle_gamma 90.00
loop_
_atom_site_label
_atom_site_type_symbol
_atom_site_fract_x
_atom_site_fract_y
_atom_site_fract_z
_atom_site_occupancy
Be1 Be 0.0000 0.0000 0.0000 1
V1 V 0.0000 0.0000 0.5000 1
Cl1 Cl 0.2500 0.2500 0.2500 1

***

[2]
# LaTa2Zn, relaxed, DFT PBE
# Theoretical density (g/cm³): 11.3
# Formation energy (eV/atom): 0.368
# DFT total energy (eV per atom): -7.109
data_LaTa2Zn
_chemical_formula_sum 'La4 Ta8 Zn4'
_space_group_name_H-M_alt 'F -4 3 m'
_space_group_IT_number 216
_space_group_name_Hall 'F -4 2 3'
_cell_length_a 6.9238
_cell_length_b 6.9238
_cell_length_c 6.9238
_cell_angle_alpha 90.00
_cell_angle_beta 90.00
_cell_angle_gamma 90.00
loop_
_atom_site_label
_atom_site_type_symbol
_atom_site_fract_x
_atom_site_fract_y
_atom_site_fract_z
_atom_site_occupancy
La1 La 0.0000 0.0000 0.0000 1
Ta1 Ta 0.0000 0.0000 0.5000 1
Ta2 Ta 0.2500 0.2500 0.7500 1
Zn1 Zn 0.2500 0.2500 0.2500 1

***

[3]
# La2P2Os, relaxed, DFT PBE
# Energy above the lowest structure with this stoichiometry (eV per atom): 0.0000
# Theoretical density (g/cm³): 8.9
# Formation energy (eV/atom): -0.873
# DFT total energy (eV per atom): -7.254
data_La2P2Os
_chemical_formula_sum 'La4 P4 Os2'
_space_group_name_H-M_alt 'P 4/m b m'
_space_group_IT_number 127
_space_group_name_Hall '-P 4 2ab'
_cell_length_a 6.4007
_cell_length_b 6.4007
_cell_length_c 4.8324
_cell_angle_alpha 90.00
_cell_angle_beta 90.00
_cell_angle_gamma 90.00
loop_
_atom_site_label
_atom_site_type_symbol
_atom_site_fract_x
_atom_site_fract_y
_atom_site_fract_z
_atom_site_occupancy
La1 La 0.1777 0.3223 0.0000 1
P1 P 0.1348 0.6348 0.5000 1
Os1 Os 0.0000 0.0000 0.5000 1

***

[4]
# La4SnAu, relaxed, DFT PBE
# Energy above the lowest structure with this stoichiometry (eV per atom): 0.0000
# Theoretical density (g/cm³): 7.7
# Formation energy (eV/atom): -0.558
# DFT total energy (eV per atom): -5.056
data_La4SnAu
_chemical_formula_sum 'La8 Sn2 Au2'
_space_group_name_H-M_alt 'P 1 21/m 1'
_space_group_IT_number 11
_cell_length_a 5.6584
_cell_length_b 7.2312
_cell_length_c 9.2881
_cell_angle_alpha 90.00
_cell_angle_beta 98.62
_cell_angle_gamma 90.00
loop_
_space_group_symop_operation_xyz
'x,y,z'
'-x,-y,-z'
'-x,y+1/2,-z'
'x,-y+1/2,z'
loop_
_atom_site_label
_atom_site_type_symbol
_atom_site_fract_x
_atom_site_fract_y
_atom_site_fract_z
_atom_site_occupancy
La1 La 0.1774 0.2500 0.0526 1
La2 La 0.2162 0.7500 0.3735 1
La3 La 0.3104 0.5252 0.7227 1
Sn1 Sn 0.2269 0.2500 0.4134 1
Au1 Au 0.3414 0.7500 0.0541 1